--- P ---
This record from Alexandria describes an optimized crystal structure of CdAgN2F. The functional is PBE-GGA.

```
5
Lattice="4.3304 0.0000 0.0000 0.0000 4.3304 0.0000 0.0000 0.0000 4.4997" Properties=species:S:1:pos:R:3 pbc="T T T"
N 0.0000 2.1652 0.0000
N 2.1652 0.0000 0.0000
F 0.0000 0.0000 2.2499
Ag 2.1652 2.1652 2.2499
Cd 0.0000 0.0000 0.0000
```

Values from the calculation:
SG ... P4/mmm, No. 123
Theoretical density ... 5.26 g/cm3
N(E_F) ... 0.3832 states/eV/atom
Total magnetic moment ... 0.690 μB per atom

***

--- Q ---
This record from Alexandria describes an optimized crystal structure of CdAgN2F. The functional is PBE-GGA.

```
5
Lattice="4.0773 0.0000 0.0000 0.0000 4.0773 0.0000 0.0000 0.0000 4.5477" Properties=species:S:1:pos:R:3 pbc="T T T"
N 0.0000 2.0386 0.0000
N 2.0386 0.0000 0.0000
F 0.0000 0.0000 2.2738
Ag 0.0000 0.0000 0.0000
Cd 2.0386 2.0386 2.2738
```

Values from the calculation:
SG ... P4/mmm, No. 123
Theoretical density ... 5.87 g/cm3
N(E_F) ... 0.4478 states/eV/atom
Total magnetic moment ... 0.455 μB per atom

***

Going by the energies, Q is most stable and the next is 6.1 kJ/mol of atoms up.

***

--- P ---
This record from Alexandria describes an optimized crystal structure of CdGa2Ag7. The functional is PBE-GGA.

```
10
Lattice="-1.5166 -2.0455 -1.3293 3.2643 -3.8962 2.2710 -8.8389 1.2917 8.0973" Properties=species:S:1:pos:R:3 pbc="T T T"
Cd 0.0000 0.0000 0.0000
Ga -2.0488 -3.2370 4.2150
Ga -5.0425 -1.4129 4.8239
Ag -2.7297 -2.3454 6.7235
Ag -2.8450 -0.2591 3.6448
Ag -5.6490 -2.5258 7.2284
Ag -1.4423 -2.1241 1.8106
Ag 0.2043 -4.0894 2.9561
Ag -7.2956 -0.5605 6.0829
Ag 0.8738 -2.9708 0.4709
```

Values from the calculation:
SG ... Cmmm, No. 65
Theoretical density ... 8.91 g/cm3
N(E_F) ... 0.2825 states/eV/atom
Total magnetic moment ... 0.000 μB per atom

***

--- Q ---
This record from Alexandria describes an optimized crystal structure of CdGa2Ag7. The functional is PBE-GGA.

```
10
Lattice="-3.9295 0.3595 -2.4080 -0.0421 -7.4284 -1.0404 -3.4288 2.8680 6.0235" Properties=species:S:1:pos:R:3 pbc="T T T"
Cd 0.0000 0.0000 0.0000
Ga -3.0308 -4.1357 -0.1087
Ga -4.3697 -0.0652 2.6838
Ag -0.7713 -5.2114 0.4806
Ag -2.6996 0.6510 4.5025
Ag -2.9918 0.5255 0.5235
Ag -4.4086 -4.7264 2.0516
Ag -2.2131 -1.8417 -1.1005
Ag -5.1873 -2.3591 3.6757
Ag -3.7002 -2.1004 1.2876
```

Values from the calculation:
SG ... Cmmm, No. 65
Theoretical density ... 7.36 g/cm3
N(E_F) ... 0.3240 states/eV/atom
Total magnetic moment ... 0.000 μB per atom

***

Going by the energies, P is most stable and the next is 13.9 kJ/mol of atoms up.